VASP calculation (PBE) on crystalline Pr6Nd8Dy at its relaxed geometry.

```
data_Pr6Nd8Dy
_cell_length_a 9.620
_cell_length_b 9.620
_cell_length_c 6.760
_cell_angle_alpha 90.00
_cell_angle_beta 90.00
_cell_angle_gamma 120.00
_symmetry_space_group_name_H-M 'P 1'
_symmetry_Int_Tables_number 1
_symmetry_space_group_name_Hall 'P 1'
loop_
_atom_site_label
_atom_site_type_symbol
_atom_site_fract_x
_atom_site_fract_y
_atom_site_fract_z
Pr1 Pr 0.084 0.653 0.160
Pr2 Pr 0.347 0.431 0.160
Pr3 Pr 0.431 0.084 0.840
Pr4 Pr 0.569 0.916 0.160
Pr5 Pr 0.653 0.569 0.840
Pr6 Pr 0.916 0.347 0.840
Nd1 Nd 0.029 0.748 0.664
Nd2 Nd 0.252 0.281 0.664
Nd3 Nd 0.281 0.029 0.336
Nd4 Nd 0.333 0.667 0.610
Nd5 Nd 0.667 0.333 0.390
Nd6 Nd 0.719 0.971 0.664
Nd7 Nd 0.748 0.719 0.336
Nd8 Nd 0.971 0.252 0.336
Dy1 Dy 0.000 0.000 0.000
```

Summary:
The value obtained for the magnetic moment is 0.000 μB per formula unit. The energy above the lowest structure with this stoichiometry comes out at 49 meV per atom. The space group is P-3.